[1]
Compound: Np3Co5Re12
Source: Alexandria
Functional: PBE
Structure: relaxed

theoretical density = 15.0 g/cm³
formation energy from the elements = 1149 meV/atom
electronic total energy = -10.0372 eV per atom

Cell lengths 12.3125, 12.3125, 12.3125 Å; angles 109.47, 109.47, 109.47 degrees
With the nearest neighbours (Å) after each atom.
Positions (direct):
1 Np 0.7500 0.3750 0.1250  8 Re 2.50-2.72
2 Np 0.8750 0.7500 0.1250  8 Re 2.50-2.72
3 Np 0.3750 0.7500 0.6250  8 Re 2.50-2.72
4 Np 0.2500 0.1250 0.3750  8 Re 2.50-2.72
5 Np 0.8750 0.1250 0.2500  8 Re 2.50-2.72
6 Np 0.3750 0.6250 0.2500  8 Re 2.50-2.72
7 Np 0.6250 0.3750 0.7500  8 Re 2.50-2.72
8 Np 0.1250 0.8750 0.7500  8 Re 2.50-2.72
9 Np 0.7500 0.8750 0.6250  8 Re 2.50-2.72
10 Np 0.6250 0.2500 0.3750  8 Re 2.50-2.72
11 Np 0.1250 0.2500 0.8750  8 Re 2.50-2.72
12 Np 0.2500 0.6250 0.8750  8 Re 2.50-2.72
13 Co 0.1250 0.3750 0.2500  4 Re 2.34
14 Co 0.0000 0.5000 0.0000  6 Re 2.41
15 Co 0.0000 0.0000 0.0000  6 Re 2.41
16 Co 0.3750 0.2500 0.1250  4 Re 2.34
17 Co 0.5000 0.0000 0.5000  6 Re 2.41
18 Co 0.5000 0.5000 0.0000  6 Re 2.41
19 Co 0.1250 0.7500 0.3750  4 Re 2.34
20 Co 0.7500 0.1250 0.8750  4 Re 2.34
21 Co 0.7500 0.6250 0.3750  4 Re 2.34
22 Co 0.3750 0.1250 0.7500  4 Re 2.34
23 Co 0.6250 0.8750 0.2500  4 Re 2.34
24 Co 0.5000 0.5000 0.5000  6 Re 2.41
25 Co 0.5000 0.0000 0.0000  6 Re 2.41
26 Co 0.0000 0.0000 0.5000  6 Re 2.41
27 Co 0.2500 0.3750 0.6250  4 Re 2.34
28 Co 0.2500 0.8750 0.1250  4 Re 2.34
29 Co 0.0000 0.5000 0.5000  6 Re 2.41
30 Co 0.8750 0.2500 0.6250  4 Re 2.34
31 Co 0.6250 0.7500 0.8750  4 Re 2.34
32 Co 0.8750 0.6250 0.7500  4 Re 2.34
33 Re 0.7269 0.1310 0.0581  2 Co 2.34-2.41, 1 Np 2.50
34 Re 0.3311 0.5581 0.4271  2 Co 2.34-2.41, 1 Np 2.50
35 Re 0.9419 0.3690 0.2731  2 Co 2.34-2.41, 1 Np 2.50
36 Re 0.5581 0.2269 0.1310  2 Co 2.34-2.41, 1 Np 2.50
37 Re 0.5960 0.7269 0.6689  2 Co 2.34-2.41, 1 Np 2.50
38 Re 0.9419 0.5729 0.1689  2 Co 2.34-2.41, 1 Np 2.50
39 Re 0.3311 0.7731 0.4040  2 Co 2.34-2.41, 1 Np 2.50
40 Re 0.0729 0.9040 0.1310  2 Co 2.34-2.41, 1 Np 2.50
41 Re 0.5729 0.9419 0.6689  2 Co 2.34-2.41, 1 Np 2.50
42 Re 0.7269 0.5960 0.1689  2 Co 2.34-2.41, 1 Np 2.50
43 Re 0.7731 0.4419 0.3690  2 Co 2.34-2.41, 1 Np 2.50
44 Re 0.8311 0.9271 0.0581  2 Co 2.34-2.41, 1 Np 2.50
45 Re 0.1310 0.7269 0.5581  2 Co 2.34-2.41, 1 Np 2.50
46 Re 0.3690 0.4271 0.0960  2 Co 2.34-2.41, 1 Np 2.50
47 Re 0.0960 0.9271 0.3690  2 Co 2.34-2.41, 1 Np 2.50
48 Re 0.4040 0.1310 0.5729  2 Co 2.34-2.41, 1 Np 2.50
49 Re 0.0960 0.1689 0.2269  2 Co 2.34-2.41, 1 Np 2.50
50 Re 0.4419 0.6689 0.0729  2 Co 2.34-2.41, 1 Np 2.50
51 Re 0.8311 0.9040 0.2731  2 Co 2.34-2.41, 1 Np 2.50
52 Re 0.1310 0.4040 0.0729  2 Co 2.34-2.41, 1 Np 2.50
53 Re 0.3690 0.9419 0.7731  2 Co 2.34-2.41, 1 Np 2.50
54 Re 0.5729 0.6310 0.4040  2 Co 2.34-2.41, 1 Np 2.50
55 Re 0.9271 0.8311 0.5581  2 Co 2.34-2.41, 1 Np 2.50
56 Re 0.7731 0.3311 0.9040  2 Co 2.34-2.41, 1 Np 2.50
57 Re 0.4271 0.3690 0.5960  2 Co 2.34-2.41, 1 Np 2.50
58 Re 0.0729 0.1689 0.4419  2 Co 2.34-2.41, 1 Np 2.50
59 Re 0.2269 0.6689 0.0960  2 Co 2.34-2.41, 1 Np 2.50
60 Re 0.1689 0.0960 0.7269  2 Co 2.34-2.41, 1 Np 2.50
61 Re 0.6310 0.0581 0.2269  2 Co 2.34-2.41, 1 Np 2.50
62 Re 0.8690 0.5960 0.9271  2 Co 2.34-2.41, 1 Np 2.50
63 Re 0.5581 0.3311 0.9271  2 Co 2.34-2.41, 1 Np 2.50
64 Re 0.5960 0.8690 0.4271  2 Co 2.34-2.41, 1 Np 2.50
65 Re 0.9040 0.8311 0.7731  2 Co 2.34-2.41, 1 Np 2.50
66 Re 0.9040 0.0729 0.6310  2 Co 2.34-2.41, 1 Np 2.50
67 Re 0.8690 0.2731 0.4419  2 Co 2.34-2.41, 1 Np 2.50
68 Re 0.1689 0.0729 0.9419  2 Co 2.34-2.41, 1 Np 2.50
69 Re 0.6310 0.5729 0.9040  2 Co 2.34-2.41, 1 Np 2.50
70 Re 0.4271 0.0581 0.3311  2 Co 2.34-2.41, 1 Np 2.50
71 Re 0.2731 0.4040 0.8311  2 Co 2.34-2.41, 1 Np 2.50
72 Re 0.2269 0.5581 0.6310  2 Co 2.34-2.41, 1 Np 2.50
73 Re 0.9271 0.0960 0.8690  2 Co 2.34-2.41, 1 Np 2.50
74 Re 0.6689 0.2269 0.5960  2 Co 2.34-2.41, 1 Np 2.50
75 Re 0.4419 0.7731 0.8690  2 Co 2.34-2.41, 1 Np 2.50
76 Re 0.0581 0.4271 0.8311  2 Co 2.34-2.41, 1 Np 2.50
77 Re 0.4040 0.2731 0.3311  2 Co 2.34-2.41, 1 Np 2.50
78 Re 0.0581 0.6310 0.7269  2 Co 2.34-2.41, 1 Np 2.50
79 Re 0.6689 0.4419 0.5729  2 Co 2.34-2.41, 1 Np 2.50
80 Re 0.2731 0.8690 0.9419  2 Co 2.34-2.41, 1 Np 2.50

***

[2]
Compound: NbCr3Te
Source: Alexandria
Functional: PBE
Structure: relaxed

theoretical density = 5.6 g/cm³
E_form (uncorrected) = 1.3554 eV per atom
electronic total energy = -7.0609 eV per atom

Cell lengths 4.8072, 4.8072, 4.8072 Å; angles 90.00, 90.00, 90.00 degrees
With the nearest neighbours (Å) after each atom.
Positions (direct):
1 Cr 0.0000 0.5000 0.0000  2 Nb 2.40
2 Cr 0.0000 0.0000 0.5000  2 Nb 2.40
3 Cr 0.5000 0.0000 0.0000  2 Nb 2.40
4 Nb 0.0000 0.0000 0.0000  6 Cr 2.40
5 Te 0.5000 0.5000 0.5000  12 Cr 3.40

***

[3]
Compound: Rb2PaRhO6
Source: Alexandria
Functional: PBE
Structure: relaxed

theoretical density = 6.8 g/cm³
E_form (uncorrected) = -1.9573 eV per atom
electronic total energy = -6.8105 eV per atom

Cell lengths 5.9342, 5.9342, 5.9341 Å; angles 60.00, 60.00, 60.00 degrees
With the nearest neighbours (Å) after each atom.
Positions (direct):
1 Rb 0.5662 0.5662 0.3015  12 O 2.97
2 Rb 0.0662 0.0662 0.8015  12 O 2.97
3 Pa 0.8162 0.8162 0.5515  6 O 2.18
4 Rh 0.3162 0.3162 0.0515  6 O 2.01
5 O 0.5560 0.0763 0.2914  1 Rh 2.01, 1 Pa 2.18
6 O 0.0763 0.0762 0.2914  1 Rh 2.01, 1 Pa 2.18
7 O 0.0762 0.5561 0.2914  1 Rh 2.01, 1 Pa 2.18
8 O 0.5560 0.5561 0.8116  1 Rh 2.01, 1 Pa 2.18
9 O 0.5561 0.0763 0.8116  1 Rh 2.01, 1 Pa 2.18
10 O 0.0763 0.5560 0.8116  1 Rh 2.01, 1 Pa 2.18

***

Question: Which of these has the lowest theoretical density?
Answer: NbCr3Te

***

Question: Which value of electronic total energy does entry 1 give?
Answer: -10.0372 eV per atom